Record 1
A geometry-optimized Sn2SbBr2 structure. Source: Alexandria, functional PBE-GGA.

a = 9.0581 Å, b = 9.0581 Å, c = 3.7343 Å
α = 90.00°, β = 90.00°, γ = 90.00°
Last column: nearest neighbours and their distance in Å.
Space group P4/mbm (No. 127)
One atom of each set of equivalent atoms:
Sn  0.2039  0.2961  0.0000  2 Br 2.84
Sb  0.0000  0.0000  0.0000  4 Sn 3.26
Br  0.1286  0.6286  0.5000  2 Sn 2.84

## Properties
The calculation puts the excess energy over the best structure of this formula in the dataset at 143.6 meV/atom. For the total magnetization, the calculation gives 0.00 Bohr magnetons per cell.

Record 2
A geometry-optimized Ac2Mg6Al3 structure. Source: Alexandria, functional PBE-GGA.

a = 8.5391 Å, b = 8.5391 Å, c = 4.6413 Å
α = 90.00°, β = 90.00°, γ = 120.00°
Last column: nearest neighbours and their distance in Å.
Space group P-62m (No. 189)
One atom of each set of equivalent atoms:
Ac  0.3333  0.6667  0.0000  6 Al 3.52, 9 Mg 3.53-3.87
Mg  0.0000  0.2812  0.5000  3 Al 2.84-2.95, 4 Mg 3.16
Mg  0.0000  0.7964  0.0000  2 Al 2.79, 2 Mg 3.01
Al  0.0000  0.6141  0.5000  5 Mg 2.79-2.95

## Properties
The final energy comes out at -2.761 eV/atom. For the total magnetization, the calculation gives 0.00 Bohr magnetons per cell.

Record 3
A geometry-optimized DyHoRh4 structure. Source: Alexandria, functional PBE-GGA.

a = 7.5382 Å, b = 7.5382 Å, c = 7.5382 Å
α = 90.00°, β = 90.00°, γ = 90.00°
Last column: nearest neighbours and their distance in Å.
Space group F-43m (No. 216)
One atom of each set of equivalent atoms:
Dy  0.0000  0.0000  0.0000  12 Rh 3.13, 4 Ho 3.26
Ho  0.2500  0.2500  0.7500  12 Rh 3.13, 4 Dy 3.26
Rh  0.1250  0.1250  0.3750  6 Rh 2.66-2.67

## Properties
The final energy comes out at -7.180 eV/atom. For the total magnetization, the calculation gives 0.00 Bohr magnetons per cell.

Record 4
A geometry-optimized MgCrHg2 structure. Source: Alexandria, functional PBE-GGA.

a = 4.6548 Å, b = 4.6548 Å, c = 3.6343 Å
α = 90.00°, β = 90.00°, γ = 90.00°
Last column: nearest neighbours and their distance in Å.
Space group P4/mmm (No. 123)
One atom of each set of equivalent atoms:
Mg  0.0000  0.0000  0.0000  8 Hg 2.95, 4 Cr 3.29
Cr  0.5000  0.5000  0.0000  8 Hg 2.95, 4 Mg 3.29
Hg  0.0000  0.5000  0.5000  4 Cr 2.95, 4 Mg 2.95, 4 Hg 3.29

## Properties
The final energy comes out at -2.816 eV/atom. For the total magnetization, the calculation gives 3.84 Bohr magnetons per cell.

Record 5
A geometry-optimized SrTa2Zn structure. Source: Alexandria, functional PBE-GGA.

a = 9.7755 Å, b = 2.9801 Å, c = 6.4363 Å
α = 90.00°, β = 97.57°, γ = 90.00°
Last column: nearest neighbours and their distance in Å.
Space group Cm (No. 8)
One atom of each set of equivalent atoms:
Sr  0.0000  0.0000  0.0000  2 Sr 2.98, 3 Zn 3.12-3.27
Ta  0.2148  0.0000  0.6269  5 Ta 2.71-2.98, 2 Zn 2.78
Ta  0.4741  0.0000  0.5196  5 Ta 2.71-2.98, 2 Zn 2.85
Zn  0.2607  0.5000  0.2775  4 Ta 2.78-2.85, 2 Zn 2.98

## Properties
The final energy comes out at -6.092 eV/atom. For the total magnetization, the calculation gives 0.00 Bohr magnetons per cell.

Record 6
A geometry-optimized MgNiMo structure. Source: Alexandria, functional PBE-GGA.

a = 2.7135 Å, b = 5.0918 Å, c = 7.1493 Å
α = 106.47°, β = 92.24°, γ = 104.75°
Last column: nearest neighbours and their distance in Å.
Space group P-1 (No. 2)
One atom of each set of equivalent atoms:
Mg  0.1950  0.3171  0.1198  5 Ni 2.66-2.84, 2 Mg 2.71, 1 Mo 2.96
Ni  0.4394  0.8989  0.2229  4 Mo 2.55-2.82, 5 Mg 2.66-2.84, 2 Ni 2.71
Mo  0.0642  0.2685  0.5182  4 Mo 2.55-2.71, 4 Ni 2.55-2.82

## Properties
The calculation puts the excess energy over the best structure of this formula in the dataset at 65.8 meV/atom. For the total magnetization, the calculation gives 0.00 Bohr magnetons per cell.

Record 7
A geometry-optimized Mn4AsP structure. Source: Alexandria, functional PBE-GGA.

a = 6.7771 Å, b = 6.7771 Å, c = 6.7771 Å
α = 90.00°, β = 90.00°, γ = 90.00°
Last column: nearest neighbours and their distance in Å.
Space group F-43m (No. 216)
One atom of each set of equivalent atoms:
Mn  0.1253  0.1253  0.1253  6 Mn 2.39-2.40
As  0.2500  0.2500  0.7500  12 Mn 2.81, 4 P 2.93
P  0.0000  0.0000  0.5000  12 Mn 2.81, 4 As 2.93

## Properties
The final energy comes out at -7.392 eV/atom. For the total magnetization, the calculation gives 28.01 Bohr magnetons per cell.

Record 8
A geometry-optimized TbHfFe10 structure. Source: Alexandria, functional PBE-GGA.

a = 3.9528 Å, b = 4.9169 Å, c = 8.4906 Å
α = 90.00°, β = 90.00°, γ = 90.00°
Last column: nearest neighbours and their distance in Å.
Space group Pmmm (No. 47)
One atom of each set of equivalent atoms:
Tb  0.0000  0.0000  0.0000  18 Fe 2.87-3.20
Hf  0.0000  0.5000  0.5000  14 Fe 2.77-3.10
Fe  0.0000  0.0000  0.3394  6 Fe 2.40-2.44
Fe  0.0000  0.5000  0.1734  6 Fe 2.42-2.46
Fe  0.5000  0.0000  0.5000  8 Fe 2.40-2.41
Fe  0.5000  0.2535  0.2568  8 Fe 2.41-2.49
Fe  0.5000  0.5000  0.0000  8 Fe 2.46-2.49

## Properties
The final energy comes out at -8.331 eV/atom. For the total magnetization, the calculation gives 19.20 Bohr magnetons per cell.

Record 9
A geometry-optimized Ba3RuPt structure. Source: Alexandria, functional PBE-GGA.

a = 5.7181 Å, b = 5.7181 Å, c = 5.7181 Å
α = 90.00°, β = 90.00°, γ = 90.00°
Last column: nearest neighbours and their distance in Å.
Space group Pm-3m (No. 221)
One atom of each set of equivalent atoms:
Ba  0.0000  0.0000  0.5000  2 Ru 2.86
Ru  0.0000  0.0000  0.0000  6 Ba 2.86
Pt  0.5000  0.5000  0.5000  12 Ba 4.04

## Properties
The calculation puts the excess energy over the best structure of this formula in the dataset at 0.0 meV/atom. For the total magnetization, the calculation gives 0.00 Bohr magnetons per cell.

Record 10
A geometry-optimized MnTlSbOs2 structure. Source: Alexandria, functional PBE-GGA.

a = 4.6033 Å, b = 4.6033 Å, c = 4.7532 Å
α = 90.00°, β = 90.00°, γ = 90.00°
Last column: nearest neighbours and their distance in Å.
Space group P4/mmm (No. 123)
One atom of each set of equivalent atoms:
Mn  0.0000  0.0000  0.0000  4 Os 2.30, 2 Sb 2.38
Tl  0.5000  0.5000  0.5000  4 Sb 3.26, 8 Os 3.31
Sb  0.0000  0.0000  0.5000  2 Mn 2.38
Os  0.0000  0.5000  0.0000  2 Mn 2.30

## Properties
The final energy comes out at -6.254 eV/atom. For the total magnetization, the calculation gives 0.00 Bohr magnetons per cell.

Record 11
A geometry-optimized Ba5Li6Mg structure. Source: Alexandria, functional PBE-GGA.

a = 5.9901 Å, b = 18.1458 Å, c = 8.3692 Å
α = 90.00°, β = 90.31°, γ = 90.00°
Last column: nearest neighbours and their distance in Å.
Space group C2/m (No. 12)
One atom of each set of equivalent atoms:
Ba  0.0000  0.0000  0.0000  8 Li 3.53-3.87
Ba  0.0000  0.3264  0.0000  8 Li 3.85-4.07, 4 Ba 4.08-4.19
Ba  0.0000  0.3297  0.5000  8 Li 3.53-3.82
Li  0.0010  0.1441  0.7159  1 Mg 3.18, 3 Ba 3.53
Li  0.0045  0.5000  0.2917  2 Mg 3.43-3.50, 1 Li 3.49, 2 Ba 3.55
Mg  0.0000  0.0000  0.5000  8 Li 3.18-3.50

## Properties
The final energy comes out at -1.829 eV/atom. For the total magnetization, the calculation gives 0.00 Bohr magnetons per cell.